A geometry-optimized CaYbInS4 structure. Source: Alexandria via LeMat-Bulk, functional PBE.

Calculated values
ΔE_f (raw) = -1.37 eV/atom
Raw total energy = -32.4 eV/f.u.
Total moment = 3.0 Bohr magnetons per cell
Space-group type = Pnma

a = 6.6369 Å, b = 8.0683 Å, c = 13.8269 Å
α = 90.00°, β = 90.00°, γ = 90.00°
Site moments in Bohr magnetons follow the coordinates.
Fractional coordinates of all 28 atoms:
S: 0.2833 0.7500 0.4118  0.05
S: 0.7635 0.9896 0.8343  0.05
S: 0.7167 0.2500 0.5882  0.05
S: 0.2635 0.4896 0.6657  0.05
S: 0.2167 0.7500 0.9118  0.05
S: 0.2568 0.2500 0.4294  0.06
S: 0.7365 0.9896 0.3343  0.05
S: 0.7432 0.7500 0.5706  0.06
S: 0.7365 0.5104 0.3343  0.05
S: 0.7635 0.5104 0.8343  0.05
S: 0.7568 0.7500 0.0706  0.06
S: 0.7833 0.2500 0.0882  0.05
S: 0.2365 0.4896 0.1657  0.05
S: 0.2635 0.0104 0.6657  0.05
S: 0.2365 0.0104 0.1657  0.05
S: 0.2432 0.2500 0.9294  0.06
In: 0.0849 0.2500 0.5923  0.00
In: 0.4151 0.2500 0.0923  0.00
In: 0.5849 0.7500 0.9077  0.00
In: 0.9151 0.7500 0.4077  0.00
Yb: 0.0000 0.0000 0.0000  0.41
Yb: 0.0000 0.5000 0.0000  0.41
Yb: 0.5000 0.5000 0.5000  0.41
Yb: 0.5000 0.0000 0.5000  0.41
Ca: 0.5072 0.2500 0.7692  0.00
Ca: 0.9928 0.2500 0.2692  0.00
Ca: 0.0072 0.7500 0.7308  0.00
Ca: 0.4928 0.7500 0.2308  0.00